A:
## LaCo2Cl (PBE)

Data for a relaxed structure of LaCo2Cl.

D(E_F) (states/eV per atom): 0.864
Total magnetic moment (μB/atom): 0.525

The structure in CIF format:
```
data_LaCo2Cl
_chemical_formula_sum 'La1 Co2 Cl1'
_symmetry_space_group_name_H-M 'P 1 2/m 1'
_symmetry_Int_Tables_number 10
_symmetry_space_group_name_Hall '-P 2y'
_cell_length_a 3.820
_cell_length_b 4.214
_cell_length_c 4.831
_cell_angle_alpha 90.00
_cell_angle_beta 90.09
_cell_angle_gamma 90.00
loop_
_atom_site_label
_atom_site_fract_x
_atom_site_fract_y
_atom_site_fract_z
La1 0.000 0.000 0.000
Co1 0.500 0.500 0.228
Cl1 0.500 0.000 0.500
```


B:
## LaCo2Cl (PBE)

Data for a relaxed structure of LaCo2Cl.

D(E_F) (states/eV per atom): 0.970
Total magnetic moment (μB/atom): 0.000

The structure in CIF format:
```
data_LaCo2Cl
_chemical_formula_sum 'La4 Co8 Cl4'
_symmetry_space_group_name_H-M 'I -4 2 d'
_symmetry_Int_Tables_number 122
_symmetry_space_group_name_Hall 'I -4 2bw'
_cell_length_a 4.605
_cell_length_b 4.605
_cell_length_c 14.283
_cell_angle_alpha 90.00
_cell_angle_beta 90.00
_cell_angle_gamma 90.00
loop_
_atom_site_label
_atom_site_fract_x
_atom_site_fract_y
_atom_site_fract_z
La1 0.000 0.000 0.000
Co1 0.047 0.250 0.625
Cl1 0.000 0.000 0.500
```


Name the least stable of them. B.


A:
## LaCoP2Cl (PBE)

Data for a relaxed structure of LaCoP2Cl.

D(E_F) (states/eV per atom): 1.035
Total magnetic moment (μB/atom): 0.645

The structure in CIF format:
```
data_LaCoP2Cl
_chemical_formula_sum 'La1 Co1 P2 Cl1'
_symmetry_space_group_name_H-M 'P 4/m m m'
_symmetry_Int_Tables_number 123
_symmetry_space_group_name_Hall '-P 4 2'
_cell_length_a 5.605
_cell_length_b 5.605
_cell_length_c 5.395
_cell_angle_alpha 90.00
_cell_angle_beta 90.00
_cell_angle_gamma 90.00
loop_
_atom_site_label
_atom_site_fract_x
_atom_site_fract_y
_atom_site_fract_z
La1 0.000 0.000 0.000
Co1 0.500 0.500 0.500
P1 0.000 0.500 0.000
Cl1 0.000 0.000 0.500
```


B:
## LaCoP2Cl (PBE)

Data for a relaxed structure of LaCoP2Cl.

D(E_F) (states/eV per atom): 0.822
Total magnetic moment (μB/atom): 0.168

The structure in CIF format:
```
data_LaCoP2Cl
_chemical_formula_sum 'La1 Co1 P2 Cl1'
_symmetry_space_group_name_H-M 'P 4/m m m'
_symmetry_Int_Tables_number 123
_symmetry_space_group_name_Hall '-P 4 2'
_cell_length_a 4.382
_cell_length_b 4.382
_cell_length_c 4.993
_cell_angle_alpha 90.00
_cell_angle_beta 90.00
_cell_angle_gamma 90.00
loop_
_atom_site_label
_atom_site_fract_x
_atom_site_fract_y
_atom_site_fract_z
La1 0.000 0.000 0.000
Co1 0.500 0.500 0.500
P1 0.000 0.500 0.500
Cl1 0.500 0.500 0.000
```


Name the least stable of them. A.


A:
## LiCo2Cl (PBE)

Data for a relaxed structure of LiCo2Cl.

D(E_F) (states/eV per atom): 1.185
Total magnetic moment (μB/atom): 0.900

The structure in CIF format:
```
data_LiCo2Cl
_chemical_formula_sum 'Li2 Co4 Cl2'
_symmetry_space_group_name_H-M 'C m m m'
_symmetry_Int_Tables_number 65
_symmetry_space_group_name_Hall '-C 2 2'
_cell_length_a 4.684
_cell_length_b 8.955
_cell_length_c 2.757
_cell_angle_alpha 90.00
_cell_angle_beta 90.00
_cell_angle_gamma 90.00
loop_
_atom_site_label
_atom_site_fract_x
_atom_site_fract_y
_atom_site_fract_z
Li1 0.000 0.000 0.000
Co1 0.250 0.250 0.500
Cl1 0.000 0.500 0.000
```


B:
## LiCo2Cl (PBE)

Data for a relaxed structure of LiCo2Cl.

D(E_F) (states/eV per atom): 0.800
Total magnetic moment (μB/atom): 0.974

The structure in CIF format:
```
data_LiCo2Cl
_chemical_formula_sum 'Li1 Co2 Cl1'
_symmetry_space_group_name_H-M 'P m m m'
_symmetry_Int_Tables_number 47
_symmetry_space_group_name_Hall '-P 2 2'
_cell_length_a 3.264
_cell_length_b 3.276
_cell_length_c 7.252
_cell_angle_alpha 90.00
_cell_angle_beta 90.00
_cell_angle_gamma 90.00
loop_
_atom_site_label
_atom_site_fract_x
_atom_site_fract_y
_atom_site_fract_z
Li1 0.000 0.000 0.000
Co1 0.000 0.500 0.500
Co2 0.500 0.000 0.500
Cl1 0.500 0.500 0.000
```


Name the least stable of them. A.


A:
## LiCo3Cl (PBE)

Data for a relaxed structure of LiCo3Cl.

D(E_F) (states/eV per atom): 1.480
Total magnetic moment (μB/atom): 1.006

The structure in CIF format:
```
data_LiCo3Cl
_chemical_formula_sum 'Li1 Co3 Cl1'
_symmetry_space_group_name_H-M 'P m -3 m'
_symmetry_Int_Tables_number 221
_symmetry_space_group_name_Hall '-P 4 2 3'
_cell_length_a 4.163
_cell_length_b 4.163
_cell_length_c 4.163
_cell_angle_alpha 90.00
_cell_angle_beta 90.00
_cell_angle_gamma 90.00
loop_
_atom_site_label
_atom_site_fract_x
_atom_site_fract_y
_atom_site_fract_z
Li1 0.000 0.000 0.000
Co1 0.000 0.000 0.500
Cl1 0.500 0.500 0.500
```


B:
## LiCo3Cl (PBE)

Data for a relaxed structure of LiCo3Cl.

D(E_F) (states/eV per atom): 1.049
Total magnetic moment (μB/atom): 0.600

The structure in CIF format:
```
data_LiCo3Cl
_chemical_formula_sum 'Li1 Co3 Cl1'
_symmetry_space_group_name_H-M 'P m -3 m'
_symmetry_Int_Tables_number 221
_symmetry_space_group_name_Hall '-P 4 2 3'
_cell_length_a 4.117
_cell_length_b 4.117
_cell_length_c 4.117
_cell_angle_alpha 90.00
_cell_angle_beta 90.00
_cell_angle_gamma 90.00
loop_
_atom_site_label
_atom_site_fract_x
_atom_site_fract_y
_atom_site_fract_z
Li1 0.000 0.000 0.000
Co1 0.000 0.500 0.500
Cl1 0.500 0.500 0.500
```


Name the least stable of them. A.